(1)
First-principles (PBE) data for a relaxed FeReTc2 crystal, as listed in the Alexandria database. Values from VASP.

```
&SYSTEM
  ibrav = 0, nat = 4, ntyp = 3
/
ATOMIC_SPECIES
Fe 55.84 Fe.upf
Re 186.21 Re.upf
Tc 98.00 Tc.upf
ATOMIC_POSITIONS angstrom
Fe -0.816 1.084 13.072
Re -1.227 1.631 19.672
Tc -1.630 2.165 26.121
Tc -0.403 0.535 6.458
CELL_PARAMETERS angstrom
-1.729 1.735 8.552
-0.834 -0.814 8.819
0.933 1.246 8.758
```

- Formation energy from the elements: 0.11 eV per atom

***

(2)
First-principles (PBE) data for a relaxed Fe2ReTc crystal, as listed in the Alexandria database. Values from VASP.

```
&SYSTEM
  ibrav = 0, nat = 4, ntyp = 3
/
ATOMIC_SPECIES
Fe 55.84 Fe.upf
Re 186.21 Re.upf
Tc 98.00 Tc.upf
ATOMIC_POSITIONS angstrom
Fe 4.615 -7.063 -0.704
Fe 2.310 -3.535 -0.352
Re -0.122 -2.590 -0.274
Tc 2.187 -6.123 -0.626
CELL_PARAMETERS angstrom
-1.294 -1.043 1.987
-1.259 -0.605 -2.182
4.617 -7.065 -0.704
```

- Formation energy from the elements: 0.16 eV per atom

***

(3)
First-principles (PBE) data for a relaxed Fe2ReTc crystal, as listed in the Alexandria database. Values from VASP.

```
&SYSTEM
  ibrav = 0, nat = 4, ntyp = 3
/
ATOMIC_SPECIES
Fe 55.84 Fe.upf
Re 186.21 Re.upf
Tc 98.00 Tc.upf
ATOMIC_POSITIONS angstrom
Fe 0.715 0.217 4.505
Fe 6.725 2.045 3.404
Re 4.471 1.360 2.339
Tc 2.267 0.689 1.029
CELL_PARAMETERS angstrom
4.521 -0.003 0.001
3.753 2.520 0.001
0.706 0.215 4.509
```

- Formation energy from the elements: 0.11 eV per atom

***

(4)
First-principles (PBE) data for a relaxed Fe2ReTc crystal, as listed in the Alexandria database. Values from VASP.

```
&SYSTEM
  ibrav = 0, nat = 4, ntyp = 3
/
ATOMIC_SPECIES
Fe 55.84 Fe.upf
Re 186.21 Re.upf
Tc 98.00 Tc.upf
ATOMIC_POSITIONS angstrom
Fe 24.691 3.836 2.250
Fe 6.300 0.979 0.574
Re 12.427 1.931 1.133
Tc 18.561 2.884 1.692
CELL_PARAMETERS angstrom
8.544 -0.058 -0.034
8.124 2.648 -0.034
8.124 1.262 2.328
```

- Formation energy from the elements: 0.16 eV per atom

***

(5)
First-principles (PBE) data for a relaxed FeRe3Tc3 crystal, as listed in the Alexandria database. Values from VASP.

```
&SYSTEM
  ibrav = 0, nat = 14, ntyp = 3
/
ATOMIC_SPECIES
Fe 55.84 Fe.upf
Re 186.21 Re.upf
Tc 98.00 Tc.upf
ATOMIC_POSITIONS angstrom
Fe 1.088 2.126 3.682
Fe 3.265 4.251 0.000
Re 3.265 1.647 -0.006
Re 3.265 5.548 2.259
Re 1.088 0.818 5.934
Re 3.265 5.559 -2.252
Re 1.088 0.829 1.423
Re 1.088 4.730 3.688
Tc 3.265 0.624 3.688
Tc 3.265 2.882 4.979
Tc 1.088 3.506 1.303
Tc 3.265 2.871 2.378
Tc 1.088 3.495 -1.297
Tc 1.088 5.752 -0.006
CELL_PARAMETERS angstrom
4.354 0.000 0.000
0.000 6.377 -3.682
0.000 0.000 7.363
```

- Formation energy from the elements: 0.18 eV per atom

***

(6)
First-principles (PBE) data for a relaxed FeRe3Tc crystal, as listed in the Alexandria database. Values from VASP.

```
&SYSTEM
  ibrav = 0, nat = 5, ntyp = 3
/
ATOMIC_SPECIES
Re 186.21 Re.upf
Tc 98.00 Tc.upf
Fe 55.84 Fe.upf
ATOMIC_POSITIONS angstrom
Re -1.071 -0.373 2.003
Re 0.730 2.042 0.771
Re -1.902 0.994 -0.832
Tc 0.000 0.000 0.000
Fe -2.243 2.663 1.942
CELL_PARAMETERS angstrom
-3.804 1.989 -1.664
-2.143 -0.747 4.006
1.461 4.084 1.543
```

- Polymorph energy (0 for the lowest one): 1684 meV per atom
- Formation energy from the elements: 2.52 eV per atom

***

| no. | V (A^3/atom) |
| --- | --- |
| 1 | 14.0 |
| 2 | 13.5 |
| 3 | 12.9 |
| 4 | 13.6 |
| 5 | 14.6 |
| 6 | 19.5 |